Compound: HWO2
Source: Alexandria
Functional: GGA+U
Structure: optimized geometry

Structure (CIF):
```
data_HWO2
_chemical_formula_sum 'H2 W2 O4'
_symmetry_space_group_name_H-M 'P 1'
_symmetry_Int_Tables_number 1
_cell_length_a 6.195
_cell_length_b 6.195
_cell_length_c 6.019
_cell_angle_alpha 59.03
_cell_angle_beta 59.03
_cell_angle_gamma 90.00
loop_
_symmetry_equiv_pos_as_xyz
'x,y,z'
loop_
_atom_site_label
_atom_site_type_symbol
_atom_site_fract_x
_atom_site_fract_y
_atom_site_fract_z
H1 H 0.500 0.500 0.000
H2 H 0.250 0.750 0.500
O1 O 0.773 0.125 0.250
O2 O 0.977 0.625 0.250
O3 O 0.375 0.227 0.750
O4 O 0.875 0.023 0.750
W1 W 0.000 0.000 0.000
W2 W 0.750 0.250 0.500
```

- E: -5.6440 eV/atom
- Energy above the most stable polymorph in this dataset: 0.494 eV per atom
- SG: I-42d, No. 122
- Calculated density: 4.55 Mg/m³